Compound: CdTe
Source: Alexandria
Functional: GGA-PBE
Structure: relaxed

Lattice parameters (Å, degrees): 5.934 11.112 16.454 90.00 90.00 90.00
Space group Fddd (No. 70, origin choice 2)
Asymmetric unit:
Cd  0.125  0.000  0.125 x16
Te  0.125  0.125  0.498 x16

Results
**Formation energy from raw total energies**: -98.4 meV per atom
**Mass density**: 5.88 g/cm3